(1)
{"formula": "BaLiGaP2", "functional": "GGA-PBE", "state": "optimized geometry", "cell": [[6.497, -2.056, 0.000], [6.497, 2.056, 0.000], [-5.311, 0.000, 8.472]], "species": ["Ba", "Ba", "Li", "Li", "Ga", "Ga", "P", "P", "P", "P"], "fractional_positions": [[0.182, 0.182, 0.150], [0.818, 0.818, 0.850], [0.354, 0.354, 0.569], [0.646, 0.646, 0.431], [0.033, 0.033, 0.680], [0.967, 0.967, 0.320], [0.161, 0.161, 0.573], [0.447, 0.447, 0.164], [0.553, 0.553, 0.836], [0.839, 0.839, 0.427]], "sg": "C2/m (12)", "formation_enthalpy_0k_mev_per_atom": -768.7}

(2)
{"formula": "Ba2Li3GaPb4", "functional": "GGA-PBE", "state": "optimized geometry", "cell": [[4.847, 0.000, 0.000], [0.000, 4.847, 0.000], [0.000, 0.000, 12.110]], "species": ["Ba", "Ba", "Li", "Li", "Li", "Ga", "Pb", "Pb", "Pb", "Pb"], "fractional_positions": [[0.000, 0.500, 0.242], [0.500, 0.000, 0.758], [0.000, 0.000, 0.000], [0.000, 0.500, 0.634], [0.500, 0.000, 0.366], [0.500, 0.500, 0.000], [0.000, 0.000, 0.500], [0.000, 0.500, 0.867], [0.500, 0.000, 0.133], [0.500, 0.500, 0.500]], "sg": "P-4m2 (115)", "formation_enthalpy_0k_mev_per_atom": -406.3, "dos_at_fermi_per_ev_atom": 0.520}

(3)
{"formula": "Ba2LiGa4Pd3", "functional": "GGA-PBE", "state": "optimized geometry", "cell": [[4.634, 0.000, 0.000], [0.000, 4.634, 0.000], [0.000, 0.000, 10.278]], "species": ["Ba", "Ba", "Li", "Ga", "Ga", "Ga", "Ga", "Pd", "Pd", "Pd"], "fractional_positions": [[0.000, 0.500, 0.247], [0.500, 0.000, 0.753], [0.500, 0.500, 0.000], [0.000, 0.000, 0.500], [0.000, 0.500, 0.880], [0.500, 0.000, 0.120], [0.500, 0.500, 0.500], [0.000, 0.000, 0.000], [0.000, 0.500, 0.622], [0.500, 0.000, 0.378]], "sg": "P-4m2 (115)", "formation_enthalpy_0k_mev_per_atom": -562.2, "dos_at_fermi_per_ev_atom": 0.686}

What did the third record say?
{"formula": "Ba2LiGa4Pd3", "functional": "GGA-PBE", "state": "optimized geometry", "cell": [[4.634, 0.000, 0.000], [0.000, 4.634, 0.000], [0.000, 0.000, 10.278]], "species": ["Ba", "Ba", "Li", "Ga", "Ga", "Ga", "Ga", "Pd", "Pd", "Pd"], "fractional_positions": [[0.000, 0.500, 0.247], [0.500, 0.000, 0.753], [0.500, 0.500, 0.000], [0.000, 0.000, 0.500], [0.000, 0.500, 0.880], [0.500, 0.000, 0.120], [0.500, 0.500, 0.500], [0.000, 0.000, 0.000], [0.000, 0.500, 0.622], [0.500, 0.000, 0.378]], "sg": "P-4m2 (115)", "formation_enthalpy_0k_mev_per_atom": -562.2, "dos_at_fermi_per_ev_atom": 0.686}